[1]
# LaSi2Ag GGA-PBE relaxed
data_LaSi2Ag
_cell_length_a 6.9529
_cell_length_b 6.9529
_cell_length_c 6.9529
_cell_angle_alpha 90.00
_cell_angle_beta 90.00
_cell_angle_gamma 90.00
_space_group_name_H-M_alt 'F m -3 m'
_space_group_IT_number 225
_space_group_name_Hall '-F 4 2 3'
loop_
_atom_site_label
_atom_site_fract_x
_atom_site_fract_y
_atom_site_fract_z
La1 0.0000 0.0000 0.0000
Si1 0.2500 0.2500 0.2500
Ag1 0.0000 0.0000 0.5000
# Formation energy from raw total energies, eV per atom: -0.046
# Raw total energy, eV/atom: -4.70
# Calculated density, g/cm3: 5.99

***

[2]
# LaSiAg GGA-PBE relaxed
data_LaSiAg
_cell_length_a 4.6827
_cell_length_b 4.6827
_cell_length_c 6.9469
_cell_angle_alpha 90.00
_cell_angle_beta 90.00
_cell_angle_gamma 90.00
_space_group_name_H-M_alt 'P 4/n m m'
_space_group_IT_number 129
loop_
_space_group_symop_operation_xyz
'x,y,z'
'-x,-y,-z'
'-y+1/2,x,z'
'y+1/2,-x,-z'
'-x+1/2,-y+1/2,z'
'x+1/2,y+1/2,-z'
'y,-x+1/2,z'
'-y,x+1/2,-z'
'x+1/2,-y,-z'
'-x+1/2,y,z'
'-y,-x,-z'
'y,x,z'
'-x,y+1/2,-z'
'x,-y+1/2,z'
'y+1/2,x+1/2,-z'
'-y+1/2,-x+1/2,z'
loop_
_atom_site_label
_atom_site_fract_x
_atom_site_fract_y
_atom_site_fract_z
La1 0.2500 0.7500 0.0000
Si1 0.2500 0.2500 0.2918
Ag1 0.2500 0.2500 0.6524
# Formation energy from raw total energies, eV per atom: 0.175
# Raw total energy, eV/atom: -4.23
# Calculated density, g/cm3: 5.99

***

[3]
# LaSi2Ag GGA-PBE relaxed
data_LaSi2Ag
_cell_length_a 4.4408
_cell_length_b 5.9905
_cell_length_c 6.8151
_cell_angle_alpha 90.00
_cell_angle_beta 90.00
_cell_angle_gamma 90.00
_space_group_name_H-M_alt 'I m m m'
_space_group_IT_number 71
_space_group_name_Hall '-I 2 2'
loop_
_atom_site_label
_atom_site_fract_x
_atom_site_fract_y
_atom_site_fract_z
La1 0.0000 0.0000 0.0000
Si1 0.0000 0.5000 0.1818
Ag1 0.0000 0.0000 0.5000
# Formation energy from raw total energies, eV per atom: -0.232
# Raw total energy, eV/atom: -4.89
# Calculated density, g/cm3: 5.55

***

[4]
# LaSiAg GGA-PBE relaxed
data_LaSiAg
_cell_length_a 4.5649
_cell_length_b 4.5649
_cell_length_c 24.6365
_cell_angle_alpha 90.00
_cell_angle_beta 90.00
_cell_angle_gamma 120.00
_space_group_name_H-M_alt 'R -3 m'
_space_group_IT_number 166
_space_group_name_Hall '-R 3 2"'
loop_
_atom_site_label
_atom_site_fract_x
_atom_site_fract_y
_atom_site_fract_z
La1 0.0000 0.0000 0.2314
Si1 0.0000 0.0000 0.0000
Si2 0.0000 0.0000 0.5000
Ag1 0.0000 0.0000 0.3626
# Formation energy from raw total energies, eV per atom: -0.371
# Raw total energy, eV/atom: -4.77
# Calculated density, g/cm3: 6.16

***

[5]
# LaSiAg GGA-PBE relaxed
data_LaSiAg
_cell_length_a 11.3219
_cell_length_b 4.4427
_cell_length_c 7.7619
_cell_angle_alpha 90.00
_cell_angle_beta 133.23
_cell_angle_gamma 90.00
_space_group_name_H-M_alt 'C 1 2/m 1'
_space_group_IT_number 12
loop_
_space_group_symop_operation_xyz
'x,y,z'
'-x,-y,-z'
'-x,y,-z'
'x,-y,z'
'x+1/2,y+1/2,z'
'-x+1/2,-y+1/2,-z'
'-x+1/2,y+1/2,-z'
'x+1/2,-y+1/2,z'
loop_
_atom_site_label
_atom_site_fract_x
_atom_site_fract_y
_atom_site_fract_z
La1 0.2444 0.0000 0.2449
Si1 0.0006 0.0000 0.3463
Ag1 0.0006 0.5000 0.8207
# Formation energy from raw total energies, eV per atom: -0.541
# Raw total energy, eV/atom: -4.94
# Calculated density, g/cm3: 6.42

***

[6]
# LaSi2Ag GGA-PBE relaxed
data_LaSi2Ag
_cell_length_a 4.7111
_cell_length_b 3.9569
_cell_length_c 5.0930
_cell_angle_alpha 90.00
_cell_angle_beta 105.62
_cell_angle_gamma 90.00
_space_group_name_H-M_alt 'P 1 m 1'
_space_group_IT_number 6
loop_
_space_group_symop_operation_xyz
'x,y,z'
'x,-y,z'
loop_
_atom_site_label
_atom_site_fract_x
_atom_site_fract_y
_atom_site_fract_z
La1 0.0000 0.0000 0.0000
Si1 0.3497 0.0000 0.5871
Si2 0.4671 0.5000 0.8758
Ag1 0.6211 0.5000 0.3935
# Formation energy from raw total energies, eV per atom: -0.291
# Raw total energy, eV/atom: -4.95
# Calculated density, g/cm3: 5.50

***

| no. | N(E_F) (states/eV/cell) |
| --- | --- |
| 1 | 9.52 |
| 2 | 8.26 |
| 3 | 4.15 |
| 4 | 6.87 |
| 5 | 1.55 |
| 6 | 1.37 |